{
  "formula": "Fe2TeBr",
  "functional": "GGA-PBE",
  "state": "relaxed",
  "e_form_raw_mev_per_atom": 597,
  "polymorph_energy_ev_per_atom": 0.6733,
  "energy_ev_per_cell": -19.35,
  "cell": [[-1.6497, 3.3683, 4.0143], [1.6497, -3.3683, 4.0143], [1.6497, 3.3683, -4.0143]],
  "species": ["Fe", "Fe", "Te", "Br"],
  "fractional_positions": [[0.2455, 0.2455, 0.0000], [0.7545, 0.7545, 0.0000], [0.5000, 0.0000, 0.5000], [0.0000, 0.5000, 0.5000]]
}

---

{
  "formula": "FeTe2Br",
  "functional": "GGA-PBE",
  "state": "relaxed",
  "e_form_raw_mev_per_atom": 127,
  "polymorph_energy_ev_per_atom": 0.2145,
  "energy_ev_per_cell": -31.82,
  "cell": [[-3.3897, 3.3897, 5.3570], [3.3897, -3.3897, 5.3570], [3.3897, 3.3897, -5.3570]],
  "species": ["Fe", "Fe", "Te", "Te", "Te", "Te", "Br", "Br"],
  "fractional_positions": [[0.0000, 0.0000, 0.0000], [0.7500, 0.2500, 0.5000], [0.0226, 0.6250, 0.8976], [0.3750, 0.2726, 0.3976], [0.7274, 0.1250, 0.1024], [0.8750, 0.9774, 0.6024], [0.2500, 0.7500, 0.5000], [0.5000, 0.5000, 0.0000]]
}

---

{
  "formula": "FeTe2Br",
  "functional": "GGA-PBE",
  "state": "relaxed",
  "e_form_raw_mev_per_atom": -85,
  "polymorph_energy_ev_per_atom": 0.0025,
  "energy_ev_per_cell": -16.76,
  "cell": [[3.5280, -1.8460, 0.0000], [3.5280, 1.8460, 0.0000], [-0.0526, 0.0000, 7.8986]],
  "species": ["Fe", "Te", "Te", "Br"],
  "fractional_positions": [[0.0000, 0.0000, 0.0000], [0.3220, 0.3220, 0.1678], [0.6780, 0.6780, 0.8322], [0.5000, 0.5000, 0.5000]]
}

---

{
  "formula": "FeTeBr",
  "functional": "GGA-PBE",
  "state": "relaxed",
  "e_form_raw_mev_per_atom": 62,
  "energy_ev_per_cell": -13.09,
  "cell": [[0.0000, 3.5309, 7.4751], [1.7308, 0.0000, 7.4751], [1.7308, 3.5309, 0.0000]],
  "species": ["Fe", "Te", "Br"],
  "fractional_positions": [[0.0000, 0.0000, 0.0000], [0.3754, 0.3754, 0.6246], [0.6160, 0.6160, 0.3840]]
}

---

{
  "formula": "FeTe2Br",
  "functional": "GGA-PBE",
  "state": "relaxed",
  "e_form_raw_mev_per_atom": 645,
  "polymorph_energy_ev_per_atom": 0.7329,
  "energy_ev_per_cell": -13.84,
  "cell": [[5.4912, 0.0000, 0.0000], [0.0000, 5.4912, 0.0000], [0.0000, 0.0000, 3.1707]],
  "species": ["Fe", "Te", "Te", "Br"],
  "fractional_positions": [[0.0000, 0.0000, 0.0000], [0.0000, 0.5000, 0.5000], [0.5000, 0.0000, 0.5000], [0.5000, 0.5000, 0.0000]]
}

---

{
  "formula": "FeTe2Br",
  "functional": "GGA-PBE",
  "state": "relaxed",
  "e_form_raw_mev_per_atom": 648,
  "polymorph_energy_ev_per_atom": 0.7362,
  "energy_ev_per_cell": -13.83,
  "cell": [[2.9149, -5.4558, 0.0000], [2.9149, 5.4558, 0.0000], [0.0000, 0.0000, 3.2299]],
  "species": ["Fe", "Te", "Te", "Br"],
  "fractional_positions": [[0.0000, 0.0000, 0.0000], [0.0000, 0.5000, 0.5000], [0.5000, 0.0000, 0.5000], [0.5000, 0.5000, 0.0000]]
}

---

{
  "formula": "FeTe2Br",
  "functional": "GGA-PBE",
  "state": "relaxed",
  "e_form_raw_mev_per_atom": 178,
  "polymorph_energy_ev_per_atom": 0.2657,
  "energy_ev_per_cell": -15.71,
  "cell": [[-1.6519, 2.7758, 5.6700], [1.6519, -2.7758, 5.6700], [1.6519, 2.7758, -5.6700]],
  "species": ["Fe", "Te", "Te", "Br"],
  "fractional_positions": [[0.0000, 0.0000, 0.0000], [0.1794, 0.6794, 0.5000], [0.8206, 0.3206, 0.5000], [0.5000, 0.5000, 0.0000]]
}

---

{
  "formula": "Fe2TeBr",
  "functional": "GGA-PBE",
  "state": "relaxed",
  "e_form_raw_mev_per_atom": 580,
  "polymorph_energy_ev_per_atom": 0.6562,
  "energy_ev_per_cell": -19.42,
  "cell": [[3.4101, -3.4100, 0.0000], [3.4101, 3.4100, 0.0000], [-0.0199, 0.0000, 3.2193]],
  "species": ["Fe", "Fe", "Te", "Br"],
  "fractional_positions": [[0.0000, 0.5000, 0.0000], [0.5000, 0.0000, 0.0000], [0.0000, 0.0000, 0.5000], [0.5000, 0.5000, 0.5000]]
}